# 1
# PrHo6Th

A relaxed PrHo6Th crystal (GGA-PBE, Alexandria).

a = 5.024 Å, b = 5.024 Å, c = 10.061 Å
α = 90.00°, β = 90.00°, γ = 90.00°
Fractional coordinates of all 8 atoms:
Pr (0.000, 0.000, 0.000)
Ho (0.000, 0.500, 0.255)
Ho (0.000, 0.500, 0.745)
Ho (0.500, 0.000, 0.255)
Ho (0.500, 0.000, 0.745)
Ho (0.500, 0.500, 0.000)
Ho (0.500, 0.500, 0.500)
Th (0.000, 0.000, 0.500)

Values from the calculation:
The density of states at the Fermi level comes out at 11.27 states/eV/f.u. The energy above the lowest structure with this stoichiometry is 0.000 eV/atom.


# 2
# Pr5Ho4Th2

A relaxed Pr5Ho4Th2 crystal (GGA-PBE, Alexandria).

a = 8.947 Å, b = 3.536 Å, c = 11.890 Å
α = 90.00°, β = 94.34°, γ = 90.00°
Fractional coordinates of all 11 atoms:
Pr (0.000, 0.000, 0.000)
Pr (0.075, 0.000, 0.293)
Pr (0.310, 0.000, 0.836)
Pr (0.690, 0.000, 0.164)
Pr (0.925, 0.000, 0.707)
Ho (0.201, 0.500, 0.548)
Ho (0.339, 0.500, 0.108)
Ho (0.661, 0.500, 0.892)
Ho (0.799, 0.500, 0.452)
Th (0.457, 0.000, 0.368)
Th (0.543, 0.000, 0.632)

Values from the calculation:
The density of states at the Fermi level comes out at 19.32 states/eV/f.u. The energy above the lowest structure with this stoichiometry is 0.000 eV/atom.


# 3
# Pr6Ho3Th2

A relaxed Pr6Ho3Th2 crystal (GGA-PBE, Alexandria).

a = 6.256 Å, b = 6.256 Å, c = 11.760 Å
α = 95.14°, β = 95.14°, γ = 120.04°
Fractional coordinates of all 11 atoms:
Pr (0.082, 0.415, 0.246)
Pr (0.251, 0.251, 0.753)
Pr (0.415, 0.082, 0.246)
Pr (0.585, 0.918, 0.754)
Pr (0.749, 0.749, 0.247)
Pr (0.918, 0.585, 0.754)
Ho (0.166, 0.834, 0.500)
Ho (0.500, 0.500, 0.500)
Ho (0.834, 0.166, 0.500)
Th (0.333, 0.667, 0.000)
Th (0.667, 0.333, 0.000)

Values from the calculation:
The density of states at the Fermi level comes out at 16.71 states/eV/f.u. The value obtained for the uncorrected energy is -4.99 eV/atom.


# 4
# Pr5Ho12Th2

A relaxed Pr5Ho12Th2 crystal (GGA-PBE, Alexandria).

a = 10.016 Å, b = 10.016 Å, c = 8.723 Å
α = 113.63°, β = 113.63°, γ = 55.14°
Fractional coordinates of all 19 atoms:
Pr (0.000, 0.000, 0.000)
Pr (0.237, 0.237, 0.810)
Pr (0.278, 0.278, 0.267)
Pr (0.722, 0.722, 0.733)
Pr (0.763, 0.763, 0.190)
Ho (0.031, 0.675, 0.581)
Ho (0.045, 0.045, 0.684)
Ho (0.175, 0.594, 0.056)
Ho (0.325, 0.969, 0.419)
Ho (0.406, 0.825, 0.944)
Ho (0.422, 0.422, 0.760)
Ho (0.578, 0.578, 0.240)
Ho (0.594, 0.175, 0.056)
Ho (0.675, 0.031, 0.581)
Ho (0.825, 0.406, 0.944)
Ho (0.955, 0.955, 0.316)
Ho (0.969, 0.325, 0.419)
Th (0.333, 0.667, 0.500)
Th (0.667, 0.333, 0.500)

Values from the calculation:
The density of states at the Fermi level comes out at 27.50 states/eV/f.u. The energy above the lowest structure with this stoichiometry is 0.205 eV/atom.